Here is an optimized crystal structure of Sc3ZnO from the Alexandria database. Energies are from PBE.

Cell: 4.000 4.000 14.770 Å, 90.00 90.00 120.00°
Sites, in units of the cell vectors:
1 Sc 0.000 0.000 0.250
2 Sc 0.000 0.000 0.750
3 Sc 0.333 0.667 0.067
4 Sc 0.333 0.667 0.433
5 Sc 0.667 0.333 0.567
6 Sc 0.667 0.333 0.933
7 Zn 0.333 0.667 0.250
8 Zn 0.667 0.333 0.750
9 O 0.000 0.000 0.000
10 O 0.000 0.000 0.500

As for the density: 3.51 Mg/m³. The calculation puts the uncorrected formation energy at -1.64 eV/f.u.

Here is an optimized crystal structure of Sc3ZnO from the Alexandria database. Energies are from PBE.

Cell: 6.092 6.092 5.964 Å, 97.34 97.34 121.78°
Sites, in units of the cell vectors:
1 Sc 0.000 0.000 0.000
2 Sc 0.022 0.450 0.752
3 Sc 0.450 0.022 0.752
4 Sc 0.501 0.501 0.500
5 Sc 0.551 0.979 0.249
6 Sc 0.979 0.551 0.249
7 Zn 0.001 0.001 0.500
8 Zn 0.500 0.500 0.001
9 O 0.197 0.803 0.000
10 O 0.803 0.197 0.000

As for the density: 3.96 Mg/m³. The calculation puts the uncorrected formation energy at -6.43 eV/f.u.

Here is an optimized crystal structure of ScZn3O3 from the Alexandria database. Energies are from PBE.

Cell: 5.836 5.836 5.836 Å, 90.00 90.00 90.00°
Sites, in units of the cell vectors:
1 Sc 0.000 0.000 0.000
2 Sc 0.500 0.500 0.500
3 Zn 0.000 0.250 0.500
4 Zn 0.000 0.750 0.500
5 Zn 0.250 0.500 0.000
6 Zn 0.500 0.000 0.250
7 Zn 0.500 0.000 0.750
8 Zn 0.750 0.500 0.000
9 O 0.000 0.500 0.250
10 O 0.000 0.500 0.750
11 O 0.250 0.000 0.500
12 O 0.500 0.250 0.000
13 O 0.500 0.750 0.000
14 O 0.750 0.000 0.500

As for the density: 4.83 Mg/m³. The calculation puts the uncorrected formation energy at -5.40 eV/f.u.

Magnetization values (in μB per atom) by entry order: 0.00 0.00 0.24.